A plane-wave DFT calculation with GGA+U was carried out for an optimized crystal structure of Sr2Tl3WO6.

```
Sr2Tl3WO6
1.0
6.103 0.047 -0.138
-3.009 5.309 -0.138
-1.184 -2.050 6.967
Tl Sr O W
3 2 6 1
Direct
0.500 0.500 0.500
0.843 0.157 0.500
0.157 0.843 0.500
0.667 0.333 0.000
0.333 0.667 0.000
0.929 0.661 0.843
0.190 0.190 0.832
0.071 0.339 0.157
0.810 0.810 0.168
0.661 0.929 0.843
0.339 0.071 0.157
0.000 0.000 0.000
```

Calculated values
Density in g cm⁻³: 7.94
E_tot in eV per atom: -5.76
SG: C2/m (12)